No. 1
Entry from the Alexandria database: a PBEsol-optimized structure of Re3AgAs (SCAN).

a = 4.4933 Å, b = 4.4933 Å, c = 4.4933 Å
α = 90.00°, β = 90.00°, γ = 90.00°
With the nearest neighbours (Å) after each atom.
Space group Pm-3m (No. 221)
One atom of each set of equivalent atoms:
Re: 0.0000 0.0000 0.5000  2 As 2.25
Ag: 0.5000 0.5000 0.5000  12 Re 3.18
As: 0.0000 0.0000 0.0000  6 Re 2.25

Results
Calculated volume = 90.7 Å³/f.u.
N(E_F) = 0.663 states/eV/atom
Density = 13.57 g/cm³
DFT formation energy = 1.80 eV/atom

---

No. 2
Entry from the Alexandria database: a PBEsol-optimized structure of Al2CuSi2O8F (SCAN).

a = 4.8327 Å, b = 8.8938 Å, c = 14.7312 Å
α = 90.00°, β = 108.87°, γ = 90.00°
With the nearest neighbours (Å) after each atom.
Space group P2_1/c (No. 14)
One atom of each set of equivalent atoms:
Al: 0.0533 0.1336 0.4530  4 O 1.75-1.90, 1 F 1.82
Al: 0.3498 0.6334 0.4533  5 O 1.77-1.92, 1 F 1.81
Cu: 0.1112 0.6480 0.2504  4 O 1.89-1.92
Si: 0.2405 0.5581 0.6452  4 O 1.63-1.68
Si: 0.4434 0.5587 0.8529  4 O 1.64-1.65
O: 0.0536 0.5333 0.3531  1 Si 1.64
O: 0.0711 0.7384 0.4783  2 Al 1.75-1.77
O: 0.1518 0.0368 0.3538  1 Si 1.65
O: 0.1784 0.7431 0.6485  1 Si 1.68
O: 0.2616 0.0147 0.5589  1 Si 1.64
O: 0.3686 0.5065 0.5603  1 Si 1.63
O: 0.3714 0.7408 0.8515  1 Si 1.65
O: 0.4925 0.5219 0.7497  2 Si 1.65-1.66
F: 0.3722 0.2494 0.9643  2 Al 1.81-1.82

Results
Calculated volume = 149.8 Å³/f.u.
Density = 3.56 g/cm³
Formation energy without anion corrections = -2.72 eV per atom

---

No. 3
Entry from the Alexandria database: a PBEsol-optimized structure of Zr2BeAs (SCAN).

a = 3.4116 Å, b = 3.4009 Å, c = 5.8753 Å
α = 90.00°, β = 94.05°, γ = 90.00°
With the nearest neighbours (Å) after each atom.
Space group P2/m (No. 10)
One atom of each set of equivalent atoms:
Zr: 0.0166 0.0000 0.2526  4 Be 2.72-2.91, 4 As 2.80-2.86, 2 Zr 2.92-2.96
Be: 0.5000 0.5000 0.5000  8 Zr 2.72-2.91, 2 As 2.94
As: 0.5000 0.5000 0.0000  8 Zr 2.80-2.86, 2 Be 2.94

Results
Calculated volume = 68.0 Å³/f.u.
Polymorph energy (0 for the lowest one) = 1.58 eV/f.u.
N(E_F) = 0.706 states/eV/atom
Density = 6.51 g/cm³
DFT formation energy = -0.47 eV/atom